SrCaCr2Cd | the Alexandria database | PBE-GGA | optimized geometry; electronic total energy = -3.314 eV per atom; total magnetic moment = 10.1 μB/f.u.
1.0
5.556 0.000 0.000
0.000 5.556 0.000
0.000 0.000 6.607
Sr Ca Cr Cd
1 1 2 1
direct
0.000 0.000 0.000 Sr
0.000 0.000 0.500 Ca
0.000 0.500 0.500 Cr
0.500 0.000 0.500 Cr
0.500 0.500 0.000 Cd